No. 1
First-principles (GGA-PBE) data for a relaxed ErSnS crystal, as listed in Alexandria via LeMat-Bulk.

The structure in POSCAR format:
```
ErSnS
1.0
4.347 0.000 0.000
0.000 4.793 0.000
0.000 0.000 7.935
Sn Er S
2 2 2
Direct
0.500 0.500 0.001
0.000 0.000 0.999
0.500 0.000 0.667
0.000 0.500 0.333
0.000 0.000 0.473
0.500 0.500 0.527
```

Computed properties:
Energy relative to the elements, uncorrected   -1.1513 eV/atom
DFT total energy   -0.396 Ry per atom

No. 2
First-principles (GGA-PBE) data for a relaxed Er7SnS5 crystal, as listed in Alexandria via LeMat-Bulk.

The structure in POSCAR format:
```
Er7SnS5
1.0
-2.558 2.838 0.768
-3.548 -5.315 -2.080
-1.679 -7.434 21.872
Er S Sn
14 10 2
Direct
0.515 0.030 0.750
0.176 0.352 0.327
0.905 0.811 0.113
0.486 0.971 0.250
0.363 0.726 0.536
0.176 0.352 0.173
0.095 0.191 0.613
0.825 0.649 0.827
0.637 0.275 0.036
0.905 0.811 0.387
0.637 0.275 0.464
0.363 0.726 0.964
0.825 0.649 0.673
0.095 0.190 0.888
0.000 0.001 0.000
0.544 0.088 0.139
0.727 0.454 0.570
0.274 0.548 0.070
0.456 0.913 0.639
0.274 0.547 0.430
0.544 0.088 0.361
0.727 0.454 0.930
0.456 0.913 0.861
0.000 0.001 0.500
0.804 0.608 0.250
0.197 0.393 0.750
```

Computed properties:
Energy relative to the elements, uncorrected   -1.6419 eV/atom
DFT total energy   -0.441 Ry per atom

No. 3
First-principles (GGA-PBE) data for a relaxed Er2SnS6 crystal, as listed in Alexandria via LeMat-Bulk.

The structure in POSCAR format:
```
Er2SnS6
1.0
-4.268 2.819 4.169
-0.993 -6.207 3.180
6.945 1.361 4.826
Er S Sn
4 12 2
Direct
0.037 0.628 0.231
0.963 0.372 0.769
0.463 0.128 0.269
0.537 0.872 0.731
0.182 0.330 0.445
0.181 0.329 0.076
0.319 0.829 0.424
0.827 0.970 0.225
0.818 0.670 0.555
0.327 0.530 0.725
0.819 0.671 0.924
0.681 0.171 0.576
0.682 0.170 0.945
0.318 0.830 0.055
0.673 0.470 0.275
0.173 0.030 0.775
0.000 0.000 0.500
0.500 0.500 0.000
```

Computed properties:
Energy relative to the elements, uncorrected   -1.0188 eV/atom
DFT total energy   -0.384 Ry per atom

No. 4
First-principles (GGA-PBE) data for a relaxed ErSnS2 crystal, as listed in Alexandria via LeMat-Bulk.

The structure in POSCAR format:
```
ErSnS2
1.0
3.916 0.000 0.000
1.958 3.392 0.000
1.958 1.131 8.326
S Er Sn
2 1 1
Direct
0.103 0.103 0.690
0.897 0.897 0.310
0.000 0.000 0.000
0.500 0.500 0.500
```

Computed properties:
Energy relative to the elements, uncorrected   -0.5350 eV/atom
DFT total energy   -0.348 Ry per atom

No. 5
First-principles (GGA-PBE) data for a relaxed Er2SnS crystal, as listed in Alexandria via LeMat-Bulk.

The structure in POSCAR format:
```
Er2SnS
1.0
-1.848 -3.329 0.385
3.762 0.202 0.672
-1.398 3.780 6.832
Er S Sn
2 1 1
Direct
0.471 0.735 0.206
0.529 0.265 0.794
0.000 0.000 0.000
0.000 0.500 0.500
```

Computed properties:
Energy relative to the elements, uncorrected   -1.2644 eV/atom
DFT total energy   -0.410 Ry per atom

No. 6
First-principles (GGA-PBE) data for a relaxed Er8SnS6 crystal, as listed in Alexandria via LeMat-Bulk.

The structure in POSCAR format:
```
Er8SnS6
1.0
3.872 0.000 0.000
0.000 8.761 -5.058
0.000 0.000 10.116
Er S Sn
8 6 1
Direct
0.252 0.300 0.335
0.252 0.667 0.333
0.252 0.035 0.700
0.748 0.333 0.667
0.252 0.665 0.965
0.748 0.335 0.035
0.748 0.965 0.300
0.748 0.700 0.665
0.250 0.347 0.864
0.250 0.136 0.483
0.750 0.483 0.347
0.750 0.653 0.136
0.750 0.864 0.517
0.250 0.517 0.653
0.500 0.000 0.000
```

Computed properties:
Energy relative to the elements, uncorrected   -1.5258 eV/atom
DFT total energy   -0.432 Ry per atom

No. 7
First-principles (GGA-PBE) data for a relaxed Er2SnS5 crystal, as listed in Alexandria via LeMat-Bulk.

The structure in POSCAR format:
```
Er2SnS5
1.0
-2.481 -1.653 -4.280
-4.151 -0.393 5.735
-4.153 11.904 -2.190
Er Sn S
4 2 10
Direct
0.848 0.697 0.066
0.848 0.697 0.434
0.152 0.303 0.566
0.152 0.303 0.934
0.825 0.649 0.750
0.175 0.351 0.250
0.268 0.536 0.750
0.045 0.090 0.110
0.303 0.605 0.410
0.697 0.395 0.910
0.732 0.464 0.250
0.697 0.395 0.590
0.303 0.605 0.090
0.045 0.090 0.390
0.955 0.910 0.890
0.955 0.910 0.610
```

Computed properties:
Energy relative to the elements, uncorrected   -1.3371 eV/atom
DFT total energy   -0.408 Ry per atom

No. 8
First-principles (GGA-PBE) data for a relaxed Er6SnS4 crystal, as listed in Alexandria via LeMat-Bulk.

The structure in POSCAR format:
```
Er6SnS4
1.0
-1.580 2.415 2.619
-3.858 -5.534 -0.123
11.192 -8.118 14.235
S Er Sn
8 12 2
Direct
0.862 0.723 0.961
0.593 0.185 0.621
0.138 0.277 0.461
0.593 0.185 0.879
0.862 0.723 0.539
0.138 0.277 0.039
0.407 0.815 0.379
0.407 0.815 0.121
0.500 0.000 0.000
0.042 0.083 0.341
0.771 0.542 0.415
0.229 0.458 0.585
0.771 0.542 0.085
0.500 0.000 0.500
0.042 0.083 0.159
0.229 0.458 0.915
0.351 0.701 0.250
0.649 0.299 0.750
0.958 0.917 0.659
0.958 0.917 0.841
0.332 0.664 0.750
0.668 0.336 0.250
```

Computed properties:
Energy relative to the elements, uncorrected   -1.5822 eV/atom
DFT total energy   -0.436 Ry per atom

No. 9
First-principles (GGA-PBE) data for a relaxed Er6SnS5 crystal, as listed in Alexandria via LeMat-Bulk.

The structure in POSCAR format:
```
Er6SnS5
1.0
6.799 0.159 1.029
1.664 5.739 3.346
0.115 0.061 6.847
S Er Sn
5 6 1
Direct
0.500 0.838 0.324
0.500 0.500 0.000
0.000 0.668 0.664
0.500 0.162 0.676
0.000 0.332 0.336
0.259 0.260 0.000
0.741 0.740 0.000
0.739 0.087 0.346
0.261 0.913 0.654
0.739 0.433 0.654
0.261 0.567 0.346
0.000 0.000 0.000
```

Computed properties:
Energy relative to the elements, uncorrected   -1.7108 eV/atom
DFT total energy   -0.444 Ry per atom

No. 10
First-principles (GGA-PBE) data for a relaxed Er2SnS crystal, as listed in Alexandria via LeMat-Bulk.

The structure in POSCAR format:
```
Er2SnS
1.0
-0.964 0.671 -3.548
-0.517 -2.846 -2.366
-8.179 -1.019 0.062
Er S Sn
2 1 1
Direct
0.266 0.266 0.202
0.067 0.067 0.798
0.667 0.667 0.998
0.499 0.499 0.502
```

Computed properties:
Energy relative to the elements, uncorrected   -1.2642 eV/atom
DFT total energy   -0.410 Ry per atom

No. 11
First-principles (GGA-PBE) data for a relaxed ErSnS3 crystal, as listed in Alexandria via LeMat-Bulk.

The structure in POSCAR format:
```
ErSnS3
1.0
6.851 0.003 -0.001
3.428 5.935 0.000
3.426 1.979 6.123
S Er Sn
6 2 2
Direct
0.745 0.453 0.748
0.453 0.053 0.748
0.547 0.947 0.252
0.947 0.255 0.252
0.255 0.547 0.252
0.053 0.745 0.748
0.349 0.349 0.952
0.650 0.651 0.048
0.852 0.852 0.444
0.148 0.148 0.556
```

Computed properties:
Energy relative to the elements, uncorrected   -1.1307 eV/atom
DFT total energy   -0.391 Ry per atom

No. 12
First-principles (GGA-PBE) data for a relaxed Sr2ErSnS5 crystal, as listed in Alexandria via LeMat-Bulk.

The structure in POSCAR format:
```
Sr2ErSnS5
1.0
4.135 0.000 0.000
-2.067 8.629 0.000
0.000 0.000 12.719
Er S Sr Sn
2 10 4 2
Direct
0.785 0.571 0.519
0.215 0.429 0.019
0.056 0.112 0.069
0.719 0.439 0.161
0.281 0.561 0.661
0.368 0.735 0.997
0.508 0.017 0.263
0.632 0.265 0.497
0.492 0.983 0.763
0.944 0.888 0.569
0.684 0.368 0.878
0.316 0.632 0.378
0.861 0.722 0.805
0.109 0.218 0.679
0.139 0.278 0.305
0.891 0.782 0.179
0.535 0.070 0.952
0.465 0.930 0.452
```

Computed properties:
Energy relative to the elements, uncorrected   -1.5835 eV/atom
DFT total energy   -0.382 Ry per atom

Question: Which of these has the lowest energy relative to the elements, uncorrected?
Answer: Er6SnS5

Question: The lowest DFT total energy belongs to which entry?
Answer: Er6SnS5

Question: The highest DFT total energy belongs to which entry?
Answer: ErSnS2